Record 1
A plane-wave DFT calculation with GGA-PBE was carried out for a relaxed structure of ScNiPt2.

Lattice parameters (Å, degrees): 4.458 4.458 4.458 60.00 60.00 60.00
Atoms (fractional coordinates):
1 Sc 0.000 0.000 0.000
2 Ni 0.750 0.750 0.750
3 Pt 0.250 0.250 0.250
4 Pt 0.500 0.500 0.500

Summary:
The calculated volume is 15.66 Å³ per atom. The formation energy comes out at -59 kJ/mol of atoms. The value obtained for the total energy is -26.6 eV per cell. The space-group type is No. 216.

=====

Record 2
A plane-wave DFT calculation with GGA-PBE was carried out for a relaxed structure of SrGe4Bi.

Lattice parameters (Å, degrees): 5.851 5.851 5.851 60.00 60.00 60.00
Atoms (fractional coordinates):
1 Sr 0.000 0.000 0.000
2 Ge 0.137 0.621 0.621
3 Ge 0.621 0.137 0.621
4 Ge 0.621 0.621 0.137
5 Ge 0.621 0.621 0.621
6 Bi 0.250 0.250 0.250

Summary:
The calculated volume is 23.60 Å³ per atom. The formation energy comes out at -7 kJ/mol of atoms. The value obtained for the total energy is -24.5 eV per cell. The space-group type is No. 216.